[1]
First-principles (PBE-GGA) data for an optimized crystal structure of TcHgOs2, as listed in Alexandria.

Values from the calculation:
The value obtained for the density of states at the Fermi level is 5.52 states/eV/cell. The crystal system is orthorhombic. For the energy of formation, the calculation gives 935 meV per atom. The calculation puts the total magnetization at 0.00 Bohr magnetons per cell.

Structure (POSCAR):
```
TcHgOs2
1.0
2.842 0.000 0.000
0.000 4.726 0.000
0.000 0.000 4.750
Tc Hg Os
1 1 2
direct
0.000 0.000 0.000 Tc
0.500 0.000 0.500 Hg
0.000 0.500 0.500 Os
0.500 0.500 0.000 Os
```


[2]
First-principles (PBE-GGA) data for an optimized crystal structure of K2LaBr, as listed in Alexandria.

Values from the calculation:
The value obtained for the density of states at the Fermi level is 12.14 states/eV/cell. The crystal system is tetragonal. For the formation energy without anion corrections, the calculation gives -154 meV/atom. The calculation puts the total magnetization at 0.00 Bohr magnetons per cell.

Structure (POSCAR):
```
K2LaBr
1.0
4.737 0.000 0.000
0.000 4.737 0.000
0.000 0.000 14.483
K La Br
4 2 2
direct
0.000 0.500 0.250 K
0.000 0.500 0.750 K
0.500 0.000 0.250 K
0.500 0.000 0.750 K
0.000 0.000 0.000 La
0.500 0.500 0.500 La
0.000 0.000 0.500 Br
0.500 0.500 0.000 Br
```


[3]
First-principles (PBE-GGA) data for an optimized crystal structure of Ho4Pt3Rh, as listed in Alexandria.

Values from the calculation:
The value obtained for the density of states at the Fermi level is 4.39 states/eV/cell. The crystal system is orthorhombic. For the energy of formation, the calculation gives -1190 meV per atom. The calculation puts the total magnetization at 0.00 Bohr magnetons per cell.

Structure (POSCAR):
```
Ho4Pt3Rh
1.0
3.744 0.000 0.000
0.000 4.408 0.000
0.000 0.000 10.527
Ho Pt Rh
4 3 1
direct
0.000 0.000 0.000 Ho
0.000 0.500 0.275 Ho
0.500 0.000 0.493 Ho
0.500 0.500 0.775 Ho
0.000 0.000 0.724 Pt
0.000 0.500 0.549 Pt
0.500 0.500 0.051 Pt
0.500 0.000 0.226 Rh
```


[4]
First-principles (PBE-GGA) data for an optimized crystal structure of Li2TcW, as listed in Alexandria.

Values from the calculation:
The value obtained for the density of states at the Fermi level is 12.97 states/eV/cell. The crystal system is tetragonal. For the energy of formation, the calculation gives 1015 meV per atom. The calculation puts the total magnetization at 0.00 Bohr magnetons per cell.

Structure (POSCAR):
```
Li2TcW
1.0
6.859 0.000 0.000
0.000 6.859 0.000
0.000 0.000 4.861
Li Tc W
8 4 4
direct
0.239 0.750 0.125 Li
0.250 0.239 0.875 Li
0.250 0.261 0.375 Li
0.261 0.750 0.625 Li
0.739 0.250 0.625 Li
0.750 0.739 0.375 Li
0.750 0.761 0.875 Li
0.761 0.250 0.125 Li
0.000 0.000 0.000 Tc
0.000 0.500 0.250 Tc
0.500 0.000 0.750 Tc
0.500 0.500 0.500 Tc
0.000 0.000 0.500 W
0.000 0.500 0.750 W
0.500 0.000 0.250 W
0.500 0.500 0.000 W
```


> total magnetization of number 4 (Li2TcW)?

0.00 Bohr magnetons per cell


> What is the formula in the third record?

Ho4Pt3Rh